Entry 1:
Density functional theory data (PBE) for a geometry-optimized Zr2TcPb structure.

The structure in POSCAR format:
```
Zr2TcPb
1.0
-3.3265 -1.6065 3.1419
1.1864 -0.6754 4.6534
-1.7542 2.9735 3.4057
Tc Pb Zr
1 1 2
Direct
0.7500 0.7500 0.7500
0.5000 0.5000 0.5000
0.2500 0.2500 0.2500
0.0000 0.0000 0.0000
```

Summary:
For the relative energy among the computed polymorphs, the calculation gives 327 meV/atom. The space group is F-43m, No. 216. The total energy is -30.86 eV per formula unit. For the formation energy, the calculation gives 0.08 eV/atom. The value obtained for the density of states at the Fermi level is 4.21 states/eV/cell.



Entry 2:
Density functional theory data (PBE) for a geometry-optimized Te5Pb3 structure.

The structure in POSCAR format:
```
Te5Pb3
1.0
9.9087 0.0000 0.0000
-4.9543 8.5811 0.0000
0.0000 0.0000 6.2717
Pb Te
6 10
Direct
0.0000 0.3586 0.7500
0.3586 0.3586 0.2500
0.3586 0.0000 0.7500
0.6414 0.0000 0.2500
0.6414 0.6414 0.7500
0.0000 0.6414 0.2500
0.0000 0.7242 0.7500
0.6667 0.3333 0.5000
0.6667 0.3333 0.0000
0.7242 0.7242 0.2500
0.7242 0.0000 0.7500
0.3333 0.6667 0.5000
0.2758 0.2758 0.7500
0.0000 0.2758 0.2500
0.3333 0.6667 0.0000
0.2758 0.0000 0.2500
```

Summary:
For the relative energy among the computed polymorphs, the calculation gives 121 meV/atom. The space group is P6_3/mcm, No. 193. The total energy is -27.34 eV per formula unit. The value obtained for the density of states at the Fermi level is 18.38 states/eV/cell.



Entry 3:
Density functional theory data (PBE) for a geometry-optimized Te5Pb structure.

The structure in POSCAR format:
```
Te5Pb
1.0
1.6246 6.7185 1.3261
-2.6011 -1.8176 -6.2823
-4.1675 0.7076 1.5208
Te Pb
5 1
Direct
0.3521 0.3521 0.0000
0.3333 0.6667 0.5000
0.6667 0.3333 0.5000
0.0000 0.6479 0.0000
0.6479 0.0000 0.0000
0.0000 0.0000 0.5000
```

Summary:
For the relative energy among the computed polymorphs, the calculation gives 77 meV/atom. The space group is P-62m, No. 189. The total energy is -18.91 eV per formula unit. The value obtained for the density of states at the Fermi level is 3.49 states/eV/cell.



Entry 4:
Density functional theory data (PBE) for a geometry-optimized Te5Pb3 structure.

The structure in POSCAR format:
```
Te5Pb3
1.0
10.6616 0.8250 0.1890
-8.3206 4.9591 0.2608
-1.0563 -2.2121 9.7644
Pb Te
6 10
Direct
0.6912 0.6512 0.0654
0.4685 0.6623 0.3967
0.6015 0.3477 0.6326
0.1757 0.7618 0.8414
0.0886 0.1431 0.8878
0.8781 0.4281 0.2706
0.5113 0.3617 0.3062
0.1489 0.9088 0.1300
0.9132 0.3455 0.5894
0.6632 0.9474 0.8254
0.0206 0.2437 0.2170
0.7132 0.3671 0.9440
0.2964 0.7891 0.4949
0.4163 0.5028 0.6950
0.3530 0.6351 0.0603
0.0536 0.9046 0.6432
```

Summary:
For the relative energy among the computed polymorphs, the calculation gives 0 meV/atom. The space group is P1, No. 1. The total energy is -28.31 eV per formula unit.



Entry 5:
Density functional theory data (PBE) for a geometry-optimized Te4Pb3 structure.

The structure in POSCAR format:
```
Te4Pb3
1.0
3.4933 -6.0506 0.0000
3.4933 6.0506 0.0000
0.0000 0.0000 5.5894
Te Pb
4 3
Direct
0.0000 0.0000 0.2640
0.6667 0.3333 0.5000
0.0000 0.0000 0.7360
0.3333 0.6667 0.5000
0.5000 0.0000 0.0000
0.0000 0.5000 0.0000
0.5000 0.5000 0.0000
```

Summary:
For the relative energy among the computed polymorphs, the calculation gives 311 meV/atom. The space group is P6/mmm, No. 191. The total energy is -23.09 eV per formula unit. The value obtained for the density of states at the Fermi level is 6.64 states/eV/cell.



Entry 6:
Density functional theory data (PBE) for a geometry-optimized Te4Pb3 structure.

The structure in POSCAR format:
```
Te4Pb3
1.0
-1.6319 2.2177 3.5938
0.9851 -1.4296 4.1813
10.9867 8.3193 2.7070
Te Pb
4 3
Direct
0.8626 0.8626 0.4121
0.1374 0.1374 0.5879
0.3793 0.3793 0.8620
0.6207 0.6207 0.1380
0.0000 0.0000 0.0000
0.2376 0.2376 0.2873
0.7624 0.7624 0.7127
```

Summary:
For the relative energy among the computed polymorphs, the calculation gives 0 meV/atom. The space group is R-3m, No. 166. The total energy is -25.27 eV per formula unit. The value obtained for the density of states at the Fermi level is 3.72 states/eV/cell.